1.
AcIn6Pd4 | PBE | relaxed

a b c (Å): 4.440 7.900 7.900
angles (deg): 120.00 90.00 90.00
Fractional coordinates of all 11 atoms:
Ac: 0.000 0.000 0.000
In: 0.000 0.535 0.070
In: 0.500 0.604 0.802
In: 0.000 0.535 0.465
In: 0.000 0.930 0.465
In: 0.500 0.198 0.802
In: 0.500 0.198 0.396
Pd: 0.500 0.794 0.589
Pd: 0.500 0.411 0.206
Pd: 0.500 0.794 0.206
Pd: 0.000 0.333 0.667

Properties
M_tot: 0.00 μB/atom
N(E_F): 0.5096 states/eV per atom
Excess energy over the best structure of this formula in the dataset: 0.000 eV/atom



2.
Y3Pt5 | PBE | relaxed

a b c (Å): 5.799 5.799 4.826
angles (deg): 90.00 90.00 77.73
Fractional coordinates of all 8 atoms:
Pt: 0.000 0.000 0.000
Pt: 0.000 0.500 0.000
Pt: 0.500 0.000 0.000
Pt: 0.704 0.296 0.500
Pt: 0.296 0.704 0.500
Y: 0.500 0.500 0.000
Y: 0.206 0.206 0.500
Y: 0.794 0.794 0.500

Properties
M_tot: 0.00 μB/atom
N(E_F): 0.3215 states/eV per atom
Excess energy over the best structure of this formula in the dataset: 0.085 eV/atom



Number 1: DFT total energy -4.303 eV per atom, DFT formation energy -12.63 kcal/mol of atoms. Number 2: DFT total energy -7.278 eV per atom, DFT formation energy -24.87 kcal/mol of atoms.